## Mg3CuCl8 (PBE)

Data for an optimized crystal structure of Mg3CuCl8.

Lattice parameters (Å, degrees): 7.3161 7.2398 7.8090 118.83 90.00 120.35
Last column: magnetic moment on the atom in μB.
Atoms (fractional coordinates):
Mg1 0.5000 0.0000 0.0000  0.00
Mg2 0.5000 0.5000 0.0000  0.00
Mg3 0.0000 0.5000 0.0000  0.00
Cu1 0.0000 0.0000 0.0000  0.53
Cl1 0.2576 0.5153 0.7864  0.00
Cl2 0.7424 0.4847 0.2136  0.00
Cl3 0.2604 0.0187 0.7867  0.06
Cl4 0.7584 0.0187 0.7867  0.06
Cl5 0.7703 0.5407 0.7934  0.08
Cl6 0.2297 0.4593 0.2066  0.08
Cl7 0.2416 0.9813 0.2133  0.06
Cl8 0.7396 0.9813 0.2133  0.06

Computed properties:
Its total energy is -3.46 eV/atom. For the formation energy without anion corrections, the calculation gives -1492.5 meV/atom. Its crystal system is monoclinic.


## MgCuCl2 (PBE)

Data for an optimized crystal structure of MgCuCl2.

Lattice parameters (Å, degrees): 6.5419 6.5419 6.5419 147.23 147.23 47.02
Atoms (fractional coordinates):
Cl1 0.0000 0.0000 0.0000
Cl2 0.2500 0.7500 0.5000
Cu1 0.5000 0.5000 0.0000
Mg1 0.7500 0.2500 0.5000

Computed properties:
Its total energy is -2.75 eV/atom. For the formation energy without anion corrections, the calculation gives -406.4 meV/atom. The calculation puts the relative energy among the computed polymorphs at 399 meV per atom. Its crystal system is tetragonal.


## MgCuCl2 (PBE)

Data for an optimized crystal structure of MgCuCl2.

Lattice parameters (Å, degrees): 3.5181 6.0087 3.7916 90.00 90.00 90.00
Atoms (fractional coordinates):
Cl1 0.0000 0.0000 0.0000
Cl2 0.5000 0.5000 0.0000
Cu1 0.5000 0.0000 0.5000
Mg1 0.0000 0.5000 0.5000

Computed properties:
Its total energy is -2.76 eV/atom. For the formation energy without anion corrections, the calculation gives -414.2 meV/atom. The calculation puts the relative energy among the computed polymorphs at 392 meV per atom. Its crystal system is orthorhombic.


## MgCu3Cl (PBE)

Data for an optimized crystal structure of MgCu3Cl.

Lattice parameters (Å, degrees): 4.7604 4.7604 4.7604 90.00 90.00 90.00
Atoms (fractional coordinates):
Mg1 0.0000 0.0000 0.0000
Cu1 0.0000 0.5000 0.0000
Cu2 0.0000 0.0000 0.5000
Cu3 0.5000 0.0000 0.0000
Cl1 0.5000 0.5000 0.5000

Computed properties:
Its total energy is -2.22 eV/atom. For the formation energy without anion corrections, the calculation gives 925.1 meV/atom. The calculation puts the relative energy among the computed polymorphs at 261 meV per atom. Its crystal system is cubic.


## MgCuCl4 (PBE)

Data for an optimized crystal structure of MgCuCl4.

Lattice parameters (Å, degrees): 3.7131 6.1240 12.7887 91.28 90.00 90.00
Last column: magnetic moment on the atom in μB.
Atoms (fractional coordinates):
Mg1 0.0000 0.0000 0.5000  0.00
Mg2 0.5000 0.5000 0.0000  0.00
Cu1 0.5000 0.5000 0.5000  0.53
Cu2 0.0000 0.0000 0.0000  0.53
Cl1 0.5037 0.1790 0.3955  0.10
Cl2 0.0037 0.3210 0.1045  0.10
Cl3 0.4963 0.8210 0.6045  0.10
Cl4 0.9963 0.6790 0.8955  0.10
Cl5 0.9129 0.6656 0.3904  0.11
Cl6 0.4129 0.8344 0.1096  0.11
Cl7 0.0871 0.3344 0.6096  0.11
Cl8 0.5871 0.1656 0.8904  0.11

Computed properties:
Its total energy is -3.33 eV/atom. For the formation energy without anion corrections, the calculation gives -1146.7 meV/atom. Its crystal system is monoclinic.


## Mg3CuCl (PBE)

Data for an optimized crystal structure of Mg3CuCl.

Lattice parameters (Å, degrees): 4.8736 4.8736 4.8736 90.00 90.00 90.00
Atoms (fractional coordinates):
Mg1 0.0000 0.5000 0.0000
Mg2 0.0000 0.0000 0.5000
Mg3 0.5000 0.0000 0.0000
Cu1 0.5000 0.5000 0.5000
Cl1 0.0000 0.0000 0.0000

Computed properties:
Its total energy is -1.85 eV/atom. For the formation energy without anion corrections, the calculation gives 296.5 meV/atom. The calculation puts the relative energy among the computed polymorphs at 428 meV per atom. Its crystal system is cubic.


## MgCuCl4 (PBE)

Data for an optimized crystal structure of MgCuCl4.

Lattice parameters (Å, degrees): 5.8591 5.8591 5.8591 60.00 60.00 60.00
Last column: magnetic moment on the atom in μB.
Atoms (fractional coordinates):
Mg1 0.0000 0.0000 0.0000  -0.01
Cu1 0.7500 0.7500 0.7500  0.00
Cl1 0.8750 0.3750 0.3750  0.36
Cl2 0.3750 0.3750 0.8750  0.36
Cl3 0.3750 0.8750 0.3750  0.36
Cl4 0.3750 0.3750 0.3750  0.36

Computed properties:
Its total energy is -1.74 eV/atom. For the formation energy without anion corrections, the calculation gives 437.9 meV/atom. Its crystal system is cubic.


## MgCuCl2 (PBE)

Data for an optimized crystal structure of MgCuCl2.

Lattice parameters (Å, degrees): 8.4469 8.4469 8.4469 24.64 24.64 24.64
Atoms (fractional coordinates):
Cl1 0.0291 0.0291 0.0291
Cl2 0.2153 0.2153 0.2153
Cu1 0.5029 0.5029 0.5029
Mg1 0.7528 0.7528 0.7528

Computed properties:
Its total energy is -3.09 eV/atom. For the formation energy without anion corrections, the calculation gives -740.4 meV/atom. The calculation puts the relative energy among the computed polymorphs at 65 meV per atom. Its crystal system is trigonal.